## RbUS2O (PBE-GGA)

Data for crystalline RbUS2O at its relaxed geometry.

Cell lengths 7.871, 4.088, 9.075 Å; angles 90.00, 106.38, 90.00 degrees
Positions (direct):
Rb: 0.196 0.250 0.315
Rb: 0.804 0.750 0.685
U: 0.316 0.250 0.827
U: 0.684 0.750 0.173
S: 0.329 0.750 0.038
S: 0.344 0.750 0.646
S: 0.656 0.250 0.354
S: 0.671 0.250 0.962
O: 0.069 0.250 0.768
O: 0.931 0.750 0.232

Energy relative to the elements, uncorrected, eV per formula unit: -9.33



## Rb2US3O (PBE-GGA)

Data for crystalline Rb2US3O at its relaxed geometry.

Cell lengths 9.312, 9.312, 9.312 Å; angles 153.75, 146.89, 42.74 degrees
Positions (direct):
Rb: 0.155 0.155 0.000
Rb: 0.845 0.845 0.000
U: 0.500 0.500 0.000
S: 0.000 0.500 0.500
S: 0.356 0.356 0.000
S: 0.644 0.644 0.000
O: 0.500 0.000 0.500

Energy relative to the elements, uncorrected, eV per formula unit: -11.57



## RbU2SO4 (PBE-GGA)

Data for crystalline RbU2SO4 at its relaxed geometry.

Cell lengths 3.803, 3.803, 9.949 Å; angles 90.00, 90.00, 90.00 degrees
Positions (direct):
Rb: 0.000 0.000 0.000
U: 0.500 0.500 0.313
U: 0.500 0.500 0.687
S: 0.000 0.000 0.500
O: 0.000 0.500 0.219
O: 0.000 0.500 0.781
O: 0.500 0.000 0.219
O: 0.500 0.000 0.781

Energy relative to the elements, uncorrected, eV per formula unit: -19.72



## Rb3U2S4O3 (PBE-GGA)

Data for crystalline Rb3U2S4O3 at its relaxed geometry.

Cell lengths 13.509, 13.509, 13.509 Å; angles 161.83, 157.21, 29.30 degrees
Positions (direct):
Rb: 0.000 0.000 0.000
Rb: 0.189 0.189 0.000
Rb: 0.811 0.811 0.000
U: 0.418 0.418 0.000
U: 0.582 0.582 0.000
S: 0.089 0.589 0.500
S: 0.322 0.322 0.000
S: 0.678 0.678 0.000
S: 0.911 0.411 0.500
O: 0.421 0.921 0.500
O: 0.500 0.500 0.000
O: 0.579 0.079 0.500

Energy relative to the elements, uncorrected, eV per formula unit: -23.30